This record from Alexandria via LeMat-Bulk describes DyMg2Cd2In2 after structural relaxation. The functional is PBE.

Calculated values
- total moment (Bohr magnetons per cell) = 0.00
- crystal system = trigonal
- raw total energy (Ha/atom) = -0.0863
- energy of formation (kJ per mole of atoms) = -18

Cell: 4.8392 4.8420 8.9885 Å, 105.66 90.00 119.98°
Sites, in units of the cell vectors:
1 Dy 0.0000 0.0000 0.0000
2 Mg 0.1336 0.2673 0.3997
3 Mg 0.8664 0.7327 0.6003
4 In 0.3917 0.7834 0.1757
5 In 0.6083 0.2166 0.8243
6 Cd 0.2484 0.4968 0.7455
7 Cd 0.7516 0.5032 0.2545